# 1
DFT (GGA-PBE) results for YErSbSe after structural relaxation.

Calculated values
ΔE_f (raw): -1.420 eV/atom
uncorrected energy: -24.31 eV per cell
magnetization: 0.00 μB per cell

Lattice parameters (Å, degrees): 4.234 4.234 5.978 90.00 90.00 90.00
Space group P4mm (No. 99)
Symmetry-distinct sites (fractional):
Y: 0.000 0.000 0.000 x1
Er: 0.500 0.500 0.499 x1
Sb: 0.500 0.500 0.999 x1
Se: 0.000 0.000 0.500 x1


# 2
DFT (GGA-PBE) results for Er6Si2Sb after structural relaxation.

Calculated values
ΔE_f (raw): -0.624 eV/atom
uncorrected energy: -191.86 eV per cell
magnetization: 0.00 μB per cell

Lattice parameters (Å, degrees): 9.404 9.449 10.221 90.00 90.00 90.00
Space group Immm (No. 71)
Symmetry-distinct sites (fractional):
Er: 0.000 0.206 0.244 x8
Er: 0.203 0.500 0.178 x8
Er: 0.223 0.314 0.500 x8
Si: 0.000 0.370 0.000 x4
Si: 0.000 0.500 0.383 x4
Sb: 0.000 0.000 0.000 x2
Sb: 0.000 0.000 0.500 x2


Please write out number 2 again, unchanged.
DFT (GGA-PBE) results for Er6Si2Sb after structural relaxation.

Calculated values
ΔE_f (raw): -0.624 eV/atom
uncorrected energy: -191.86 eV per cell
magnetization: 0.00 μB per cell

Lattice parameters (Å, degrees): 9.404 9.449 10.221 90.00 90.00 90.00
Space group Immm (No. 71)
Symmetry-distinct sites (fractional):
Er: 0.000 0.206 0.244 x8
Er: 0.203 0.500 0.178 x8
Er: 0.223 0.314 0.500 x8
Si: 0.000 0.370 0.000 x4
Si: 0.000 0.500 0.383 x4
Sb: 0.000 0.000 0.000 x2
Sb: 0.000 0.000 0.500 x2